A plane-wave DFT calculation with PBE was carried out for K2CaPF after structural relaxation.

a b c (Å): 6.6952 4.2119 6.6952
angles (deg): 90.00 90.00 90.00
Fractional positions:
Ca (0.5000, 0.5000, 0.5000)
F (0.0000, 0.5000, 0.0000)
K (0.5000, 0.0000, 0.0000)
K (0.0000, 0.0000, 0.5000)
P (0.0000, 0.0000, 0.0000)

Computed properties:
crystal system = tetragonal
ΔE_f (raw) = -0.206 eV per atom
D(E_F) = 0.64 states/eV per cell

A plane-wave DFT calculation with PBE was carried out for Mg2Zn after structural relaxation.

a b c (Å): 4.5742 4.5742 4.5742
angles (deg): 60.00 60.00 60.00
Fractional positions:
Zn (0.0000, 0.0000, 0.0000)
Mg (0.7500, 0.7500, 0.7500)
Mg (0.2500, 0.2500, 0.2500)

Computed properties:
crystal system = cubic
E_form = 0.043 eV per atom
D(E_F) = 2.20 states/eV per cell

A plane-wave DFT calculation with PBE was carried out for Pm3P2Pt9Au after structural relaxation.

a b c (Å): 5.7026 5.7026 10.9357
angles (deg): 90.00 90.00 120.00
Fractional positions:
Pm (0.3333, 0.6667, 0.5912)
Pt (0.8368, 0.6736, 0.6985)
Au (0.0000, 0.0000, 0.5000)
Pt (0.6736, 0.8368, 0.3015)
Pt (0.1632, 0.8368, 0.3015)
P (0.6667, 0.3333, 0.8425)
Pt (0.8368, 0.1632, 0.6985)
Pt (0.5000, 0.0000, 0.0000)
Pt (0.1632, 0.3264, 0.3015)
Pm (0.0000, 0.0000, 0.0000)
Pt (0.0000, 0.5000, 0.0000)
P (0.3333, 0.6667, 0.1575)
Pm (0.6667, 0.3333, 0.4088)
Pt (0.5000, 0.5000, 0.0000)
Pt (0.3264, 0.1632, 0.6985)

Computed properties:
crystal system = trigonal
E_form = -0.741 eV per atom
D(E_F) = 8.02 states/eV per cell

A plane-wave DFT calculation with PBE was carried out for ZrTc2Ru after structural relaxation.

a b c (Å): 5.2780 5.2780 5.2780
angles (deg): 144.39 130.54 62.42
Fractional positions:
Zr (0.7500, 0.2500, 0.5000)
Ru (0.2500, 0.7500, 0.5000)
Tc (0.5037, 0.5037, 0.0000)
Tc (0.9963, 0.9963, 0.0000)

Computed properties:
crystal system = orthorhombic
E_form = -0.011 eV per atom
D(E_F) = 4.11 states/eV per cell